# 1
The following is a PBE-GGA calculation of crystalline ZnHgMo2 at its relaxed geometry, from the Alexandria database.

The structure in CIF format:
```
data_ZnHgMo2
_chemical_formula_sum 'Zn1 Hg1 Mo2'
_cell_length_a 4.483
_cell_length_b 3.838
_cell_length_c 3.838
_cell_angle_alpha 90.00
_cell_angle_beta 90.00
_cell_angle_gamma 90.00
_symmetry_space_group_name_H-M 'P 1'
_symmetry_Int_Tables_number 1
_symmetry_space_group_name_Hall 'P 1'
loop_
_atom_site_label
_atom_site_fract_x
_atom_site_fract_y
_atom_site_fract_z
_atom_site_occupancy
Hg1 0.500 0.000 0.500 1
Mo1 0.000 0.000 0.000 1
Mo2 0.000 0.500 0.500 1
Zn1 0.500 0.500 0.000 1
```

Properties
The crystal system is tetragonal. The value obtained for the formation enthalpy at 0 K is 0.3862 eV per atom.

---

# 2
The following is a PBE-GGA calculation of crystalline VGe2Mo at its relaxed geometry, from the Alexandria database.

The structure in CIF format:
```
data_VGe2Mo
_chemical_formula_sum 'V1 Ge2 Mo1'
_cell_length_a 4.398
_cell_length_b 4.398
_cell_length_c 4.398
_cell_angle_alpha 60.00
_cell_angle_beta 60.00
_cell_angle_gamma 60.00
_symmetry_space_group_name_H-M 'P 1'
_symmetry_Int_Tables_number 1
_symmetry_space_group_name_Hall 'P 1'
loop_
_atom_site_label
_atom_site_fract_x
_atom_site_fract_y
_atom_site_fract_z
_atom_site_occupancy
Mo1 0.500 0.500 0.500 1
Ge1 0.250 0.250 0.250 1
Ge2 0.750 0.750 0.750 1
V1 0.000 0.000 0.000 1
```

Properties
The crystal system is cubic. The value obtained for the formation enthalpy at 0 K is 0.0490 eV per atom.